Entry i
Below is VCuGeO2 after structural relaxation, with properties calculated at the PBE with a Hubbard U level.

Unit cell a=3.795 b=3.795 c=4.866 alpha=90.00 beta=90.00 gamma=90.00
Element x y z (fractional)
1 V 0.000 0.000 0.000
2 Cu 0.500 0.500 0.000
3 Ge 0.500 0.500 0.500
4 O 0.000 0.500 0.500
5 O 0.500 0.000 0.500

Calculated values
calculated density	5.2	Mg/m³
SG	P4/mmm, No. 123
V	14.0	A^3/atom


Entry ii
Below is VCuGeO2 after structural relaxation, with properties calculated at the PBE with a Hubbard U level.

Unit cell a=3.840 b=3.840 c=4.641 alpha=90.00 beta=90.00 gamma=90.00
Element x y z (fractional)
1 V 0.000 0.000 0.000
2 Cu 0.500 0.500 0.500
3 Ge 0.500 0.500 0.000
4 O 0.000 0.500 0.500
5 O 0.500 0.000 0.500

Calculated values
calculated density	5.3	Mg/m³
SG	P4/mmm, No. 123
V	13.7	A^3/atom


Top of the stability list: entry i, leading by 0.346 eV/atom.